This record from the Alexandria database describes a geometry-optimized U2Tl3CrSe6 structure. The functional is PBE.

Computed properties:
- Formation energy from raw total energies: -745 meV per atom
- Raw total energy: -5.76 eV/atom
- Volume: 337 Å³/cell

Cell lengths 7.030, 7.030, 8.223 Å; angles 98.19, 98.19, 120.02 degrees
Last column: magnetic moment on the atom in μB.
Positions (direct):
Se1 0.387 0.066 0.198  -0.07
Cr1 0.000 0.000 0.000  3.63
Se2 0.934 0.613 0.802  -0.07
Se3 0.746 0.746 0.200  -0.07
Se4 0.613 0.934 0.802  -0.07
U1 0.334 0.666 0.000  2.41
Tl1 0.169 0.831 0.500  0.01
Tl2 0.500 0.500 0.500  0.01
Se5 0.066 0.387 0.198  -0.07
U2 0.666 0.334 0.000  2.41
Se6 0.254 0.254 0.800  -0.07
Tl3 0.831 0.169 0.500  0.01